CaMnTlO4 PBE with a Hubbard U relaxed; calculated volume = 224.3 Å³/cell; total magnetic moment = 2.00 μB per formula unit; calculated total energy = -84.63 eV per cell
1.0
-2.593 2.838 -4.296
-3.278 -2.890 3.760
-0.458 6.265 4.415
O Tl Mn Ca
8 2 2 2
direct
0.273 0.727 0.076
0.727 0.273 0.924
0.696 0.821 0.750
0.273 0.727 0.424
0.179 0.304 0.750
0.727 0.273 0.576
0.821 0.696 0.250
0.304 0.179 0.250
0.177 0.823 0.750
0.823 0.177 0.250
0.834 0.166 0.750
0.166 0.834 0.250
0.500 0.500 0.500
0.500 0.500 0.000